(1)
TbZnPd5 after structural relaxation, computed with PBE-GGA.

a = 7.4553 Å, b = 7.4553 Å, c = 7.4553 Å
α = 113.64°, β = 83.56°, γ = 135.32°
Sites, in units of the cell vectors:
Tb: 0.4947 0.2447 0.2500
Tb: 0.5053 0.7553 0.7500
Zn: 0.0000 0.0000 0.0000
Zn: 0.5000 0.0000 0.5000
Pd: 0.0085 0.7585 0.2500
Pd: 0.1125 0.2542 0.3837
Pd: 0.1125 0.7288 0.8584
Pd: 0.3705 0.2542 0.6416
Pd: 0.3705 0.7288 0.1163
Pd: 0.6295 0.2712 0.8837
Pd: 0.6295 0.7458 0.3584
Pd: 0.8875 0.2712 0.1416
Pd: 0.8875 0.7458 0.6163
Pd: 0.9915 0.2415 0.7500

Properties
The space-group type is Imma. The calculation puts the energy above the most stable polymorph in this dataset at 171 meV/atom. The uncorrected energy comes out at -4.94 eV/atom. The formation energy comes out at -0.382 eV/atom.



(2)
Zn3RhS after structural relaxation, computed with PBE-GGA.

a = 4.7415 Å, b = 4.7415 Å, c = 4.7415 Å
α = 90.00°, β = 90.00°, γ = 90.00°
Sites, in units of the cell vectors:
Zn: 0.0000 0.0000 0.5000
Zn: 0.0000 0.5000 0.0000
Zn: 0.5000 0.0000 0.0000
Rh: 0.0000 0.0000 0.0000
S: 0.5000 0.5000 0.5000

Properties
The space-group type is Pm-3m. The calculation puts the energy above the most stable polymorph in this dataset at 0 meV/atom. The uncorrected energy comes out at -2.64 eV/atom.



(3)
SrIn2IrRh after structural relaxation, computed with PBE-GGA.

a = 5.8826 Å, b = 5.8826 Å, c = 4.7954 Å
α = 90.00°, β = 90.00°, γ = 90.00°
Sites, in units of the cell vectors:
Sr: 0.0000 0.0000 0.0000
In: 0.0000 0.5000 0.0000
In: 0.5000 0.0000 0.0000
Ir: 0.5000 0.5000 0.5000
Rh: 0.0000 0.0000 0.5000

Properties
The space-group type is P4/mmm. The uncorrected energy comes out at -2.82 eV/atom. The formation energy comes out at 1.855 eV/atom.



> Which of these has the highest uncorrected energy?

Zn3RhS



> uncorrected energy of number 2 (Zn3RhS)?

-2.64 eV/atom